Below is an optimized crystal structure of Gd2InGe2, with properties calculated at the PBE level.

a b c (Å): 7.485 7.485 4.235
angles (deg): 90.00 90.00 90.00
Site moments in Bohr magnetons follow the coordinates.
Atoms (fractional coordinates):
Gd 0.179 0.321 0.500  6.98
Gd 0.679 0.179 0.500  6.98
Gd 0.821 0.679 0.500  6.98
Gd 0.321 0.821 0.500  6.98
In 0.500 0.500 0.000  -0.02
In 0.000 0.000 0.000  -0.02
Ge 0.120 0.620 0.000  -0.04
Ge 0.380 0.120 0.000  -0.04
Ge 0.620 0.880 0.000  -0.04
Ge 0.880 0.380 0.000  -0.04

Values from the calculation:
As for the formation energy: -3.605 eV/f.u. Its energy is -8.748 eV per atom. Its total magnetization is 28.1 μB/cell.